[1]
{
  "formula": "LiErCu17",
  "functional": "PBE",
  "state": "relaxed",
  "cell": [[0.527, -6.314, -0.963], [1.804, 0.222, -6.146], [6.320, -0.483, 0.948]],
  "species": ["Cu", "Cu", "Cu", "Cu", "Cu", "Cu", "Cu", "Cu", "Cu", "Cu", "Cu", "Cu", "Cu", "Cu", "Cu", "Cu", "Cu", "Li", "Er"],
  "frac_coords": [[0.996, 0.996, 0.501], [0.002, 0.696, 0.300], [0.996, 0.501, 0.996], [0.002, 0.300, 0.696], [0.851, 0.345, 0.345], [0.652, 0.652, 0.159], [0.904, 0.904, 0.904], [0.501, 0.996, 0.996], [0.652, 0.159, 0.652], [0.345, 0.345, 0.851], [0.300, 0.696, 0.002], [0.696, 0.002, 0.300], [0.159, 0.652, 0.652], [0.099, 0.099, 0.099], [0.300, 0.002, 0.696], [0.696, 0.300, 0.002], [0.345, 0.851, 0.345], [0.342, 0.342, 0.342], [0.660, 0.660, 0.660]],
  "sg": "R3m",
  "vol_a3_per_cell": 256.8,
  "crystal_system": "trigonal",
  "e_form_ev_per_fu": -0.686,
  "mass_density_g_cm3": 8.11
}

***

[2]
{
  "formula": "Sm4Zn3Ag2",
  "functional": "PBE",
  "state": "relaxed",
  "cell": [[-4.305, 1.171, 2.256], [-4.010, -2.927, -0.594], [2.721, -5.342, 7.965]],
  "species": ["Sm", "Sm", "Sm", "Sm", "Zn", "Zn", "Zn", "Ag", "Ag"],
  "frac_coords": [[0.667, 0.667, 0.890], [0.000, 0.000, 0.663], [0.000, 0.000, 0.337], [0.333, 0.333, 0.110], [0.000, 0.000, 0.000], [0.667, 0.667, 0.496], [0.333, 0.333, 0.504], [0.667, 0.666, 0.201], [0.333, 0.334, 0.799]],
  "sg": "P-3m1",
  "vol_a3_per_cell": 215.8,
  "crystal_system": "trigonal",
  "e_form_ev_per_fu": -2.026,
  "mass_density_g_cm3": 7.80
}

***

[3]
{
  "formula": "KSiNiRh2",
  "functional": "PBE",
  "state": "relaxed",
  "cell": [[4.575, 0.000, 0.000], [0.000, 4.437, 0.000], [0.000, 0.000, 4.575]],
  "species": ["Rh", "Rh", "Ni", "Si", "K"],
  "frac_coords": [[0.000, 0.000, 0.500], [0.500, 0.000, 0.000], [0.000, 0.500, 0.000], [0.000, 0.000, 0.000], [0.500, 0.500, 0.500]],
  "formation_energy_uncorrected_ev_per_fu": 1.22,
  "sg": "P4/mmm",
  "vol_a3_per_cell": 92.9,
  "crystal_system": "tetragonal",
  "mass_density_g_cm3": 5.93
}

***

[4]
{
  "formula": "CuReP2Cl",
  "functional": "PBE",
  "state": "relaxed",
  "cell": [[-0.745, -4.455, -0.397], [2.890, -0.172, -3.489], [3.371, -0.816, 2.832]],
  "species": ["P", "P", "Cu", "Cl", "Re"],
  "frac_coords": [[0.500, 0.000, 0.000], [0.000, 0.500, 0.000], [0.000, 0.000, 0.000], [0.000, 0.000, 0.500], [0.500, 0.500, 0.500]],
  "formation_energy_uncorrected_ev_per_fu": 6.82,
  "sg": "P4/mmm",
  "vol_a3_per_cell": 92.0,
  "crystal_system": "tetragonal",
  "mass_density_g_cm3": 6.26
}

***

[5]
{
  "formula": "Cr5OsRh6",
  "functional": "PBE",
  "state": "relaxed",
  "cell": [[3.642, -0.003, -1.021], [-2.575, 6.203, -2.196], [0.016, 0.138, 7.065]],
  "species": ["Rh", "Rh", "Rh", "Rh", "Rh", "Rh", "Os", "Cr", "Cr", "Cr", "Cr", "Cr"],
  "frac_coords": [[0.246, 0.746, 0.746], [0.754, 0.254, 0.254], [0.748, 0.581, 0.915], [0.748, 0.915, 0.581], [0.252, 0.419, 0.085], [0.252, 0.085, 0.419], [0.000, 0.000, 0.000], [0.000, 0.333, 0.667], [0.000, 0.667, 0.333], [0.500, 0.163, 0.837], [0.500, 0.500, 0.500], [0.500, 0.837, 0.163]],
  "sg": "Immm",
  "vol_a3_per_cell": 161.1,
  "crystal_system": "orthorhombic",
  "e_form_ev_per_fu": -0.749,
  "mass_density_g_cm3": 11.00
}

***

[6]
{
  "formula": "TlZnCl2F",
  "functional": "PBE",
  "state": "relaxed",
  "cell": [[-1.473, 4.762, -1.209], [-2.971, -1.869, -3.740], [-3.084, -0.295, 2.597]],
  "species": ["Tl", "Zn", "Cl", "Cl", "F"],
  "frac_coords": [[0.500, 0.500, 0.500], [0.000, 0.000, 0.000], [0.000, 0.500, 0.000], [0.500, 0.000, 0.000], [0.000, 0.000, 0.500]],
  "formation_energy_uncorrected_ev_per_fu": -6.86,
  "sg": "P4/mmm",
  "vol_a3_per_cell": 106.3,
  "crystal_system": "tetragonal",
  "mass_density_g_cm3": 5.62
}